# CrFe2Ag

A geometry-optimized CrFe2Ag structure (PBE-GGA, the Alexandria database).

Lattice parameters (Å, degrees): 6.068 6.068 6.068 90.00 90.00 90.00
Space group F-43m (No. 216)
Asymmetric unit:
1 Cr 0.000 0.000 0.000 [4 per cell]
2 Fe 0.000 0.000 0.500 [4 per cell]
3 Fe 0.250 0.250 0.750 [4 per cell]
4 Ag 0.250 0.250 0.250 [4 per cell]

Formation energy from the elements ... 1.81 eV/f.u.
ΔE to the lowest computed polymorph ... 131 meV per atom